Material: AlTl3Co
Method: DFT, PBE
State: optimized geometry

Results
Magnetization ... 0.00 μB/cell
Distance to the lowest polymorph of the same formula ... 0.0 meV per atom
Formation enthalpy at 0 K ... 0.411 eV/atom
E_tot ... -15.89 eV per cell

Cell: 5.0696 5.0696 5.0696 Å, 90.00 90.00 90.00°
Atoms (fractional coordinates):
Tl (0.0000, 0.0000, 0.5000)
Tl (0.0000, 0.5000, 0.0000)
Tl (0.5000, 0.0000, 0.0000)
Al (0.5000, 0.5000, 0.5000)
Co (0.0000, 0.0000, 0.0000)